(1)
This record from Alexandria via LeMat-Bulk describes crystalline CaBr2Cl at its relaxed geometry. The functional is PBE.

```
4
Lattice="-2.891 3.507 -0.567 -0.295 -0.966 -4.468 -4.261 -3.350 1.006" Properties=species:S:1:pos:R:3 pbc="T T T"
Br -2.126 -1.672 0.502
Cl -4.789 -1.242 -1.763
Ca -2.659 0.433 -2.266
Br -0.005 -0.004 0.001
```

Calculated values
- Energy above the most stable polymorph in this dataset: 351 meV per atom
- Electronic total energy: -12.3 eV per cell
- Magnetic moment: 0.00 μB per formula unit
- Raw formation energy: -1.279 eV per atom



(2)
This record from Alexandria via LeMat-Bulk describes crystalline CaBr2Cl at its relaxed geometry. The functional is PBE.

```
4
Lattice="-6.228 0.932 3.882 -0.524 -0.275 7.374 3.071 3.035 -6.007" Properties=species:S:1:pos:R:3 pbc="T T T"
Cl -1.067 1.607 4.585
Br -2.543 2.077 0.545
Br -0.215 0.021 0.358
Ca -3.233 0.314 5.389
```

Calculated values
- Energy above the most stable polymorph in this dataset: 264 meV per atom
- Electronic total energy: -12.7 eV per cell
- Magnetic moment: 1.01 μB per formula unit
- Raw formation energy: -1.366 eV per atom



(3)
This record from Alexandria via LeMat-Bulk describes crystalline CaBr2Cl at its relaxed geometry. The functional is PBE.

```
8
Lattice="7.449 0.000 0.002 0.000 4.310 0.000 -0.224 0.000 9.628" Properties=species:S:1:pos:R:3 pbc="T T T"
Br 5.851 2.155 5.908
Ca 7.176 0.000 4.433
Br 4.148 2.155 8.690
Cl 4.896 0.000 2.918
Ca 3.483 2.155 3.962
Cl 0.789 2.155 3.013
Br 2.346 0.000 5.640
Br 2.677 2.155 0.683
```

Calculated values
- Energy above the most stable polymorph in this dataset: 3 meV per atom
- Electronic total energy: -27.4 eV per cell
- Magnetic moment: 0.00 μB per formula unit
- Raw formation energy: -1.626 eV per atom



(4)
This record from Alexandria via LeMat-Bulk describes crystalline CaBr2Cl at its relaxed geometry. The functional is PBE.

```
8
Lattice="5.451 -0.001 0.001 -2.041 7.884 0.000 -0.708 -3.852 7.218" Properties=species:S:1:pos:R:3 pbc="T T T"
Br 4.815 -0.344 1.714
Ca -0.657 1.131 4.250
Cl -0.605 2.227 6.634
Br -0.547 3.722 2.724
Br -0.636 -1.522 5.687
Ca 0.040 6.570 2.000
Cl 2.077 0.786 3.842
Br 1.196 5.002 4.336
```

Calculated values
- Energy above the most stable polymorph in this dataset: 31 meV per atom
- Electronic total energy: -27.2 eV per cell
- Magnetic moment: 0.00 μB per formula unit
- Raw formation energy: -1.599 eV per atom



(5)
This record from Alexandria via LeMat-Bulk describes crystalline CaBr2Cl at its relaxed geometry. The functional is PBE.

```
4
Lattice="5.601 0.126 0.033 -3.010 4.725 0.033 1.213 2.271 4.729" Properties=species:S:1:pos:R:3 pbc="T T T"
Ca 3.407 1.198 2.381
Br 0.000 0.000 0.000
Cl -0.899 3.498 2.381
Br 1.295 2.425 0.033
```

Calculated values
- Energy above the most stable polymorph in this dataset: 349 meV per atom
- Electronic total energy: -12.3 eV per cell
- Magnetic moment: 0.00 μB per formula unit
- Raw formation energy: -1.281 eV per atom



(6)
This record from Alexandria via LeMat-Bulk describes crystalline CaBr2Cl at its relaxed geometry. The functional is PBE.

```
4
Lattice="4.680 0.024 0.000 -1.407 4.464 0.000 0.000 0.000 5.270" Properties=species:S:1:pos:R:3 pbc="T T T"
Br 0.000 0.000 0.000
Cl -0.703 2.232 2.635
Br 1.637 2.244 0.000
Ca 2.340 0.012 2.635
```

Calculated values
- Energy above the most stable polymorph in this dataset: 336 meV per atom
- Electronic total energy: -12.4 eV per cell
- Magnetic moment: 0.00 μB per formula unit
- Raw formation energy: -1.294 eV per atom



(7)
This record from Alexandria via LeMat-Bulk describes crystalline CaBr2Cl at its relaxed geometry. The functional is PBE.

```
4
Lattice="4.418 0.000 0.000 0.000 5.660 0.010 0.000 2.947 4.832" Properties=species:S:1:pos:R:3 pbc="T T T"
Ca 0.000 4.457 2.506
Br 0.000 8.499 4.779
Cl 2.209 6.071 3.417
Br 2.209 2.490 1.401
```

Calculated values
- Energy above the most stable polymorph in this dataset: 270 meV per atom
- Electronic total energy: -12.6 eV per cell
- Magnetic moment: 0.00 μB per formula unit
- Raw formation energy: -1.359 eV per atom



(8)
This record from Alexandria via LeMat-Bulk describes crystalline CaBr2Cl at its relaxed geometry. The functional is PBE.

```
4
Lattice="-3.233 5.284 -0.623 -5.488 0.719 2.852 5.795 -1.834 1.351" Properties=species:S:1:pos:R:3 pbc="T T T"
Ca -2.027 0.944 2.659
Br -4.360 3.002 1.114
Cl -0.899 3.226 0.921
Br 0.000 0.000 0.000
```

Calculated values
- Energy above the most stable polymorph in this dataset: 413 meV per atom
- Electronic total energy: -12.1 eV per cell
- Magnetic moment: 0.00 μB per formula unit
- Raw formation energy: -1.217 eV per atom